Density functional theory data (PBE) for crystalline CaS8I2 at its relaxed geometry.

a = 11.763 Å, b = 9.149 Å, c = 9.149 Å
α = 39.64°, β = 133.76°, γ = 133.76°
Element x y z (fractional)
1 I 0.650 0.893 0.893
2 I 0.350 0.107 0.107
3 Ca 0.000 0.000 0.000
4 S 0.841 0.276 0.276
5 S 0.037 0.143 0.614
6 S 0.197 0.513 0.513
7 S 0.037 0.614 0.143
8 S 0.963 0.857 0.386
9 S 0.963 0.386 0.857
10 S 0.159 0.724 0.724
11 S 0.803 0.487 0.487

## Properties
SG = C2/m
E_form (uncorrected) = -0.108 eV/atom
Energy = -3.574 eV/atom

---

Density functional theory data (PBE) for crystalline SrMo4Os at its relaxed geometry.

a = 5.361 Å, b = 5.361 Å, c = 5.361 Å
α = 60.00°, β = 60.00°, γ = 60.00°
Element x y z (fractional)
1 Sr 0.000 0.000 0.000
2 Mo 0.875 0.375 0.375
3 Mo 0.375 0.375 0.875
4 Mo 0.375 0.875 0.375
5 Mo 0.375 0.375 0.375
6 Os 0.750 0.750 0.750

## Properties
Energy relative to the elements = 0.732 eV per atom
SG = F-43m
D(E_F) = 6.09 states/eV per cell
Energy = -8.641 eV/atom

---

Density functional theory data (PBE) for crystalline GeBAsBr2 at its relaxed geometry.

a = 4.639 Å, b = 4.639 Å, c = 4.694 Å
α = 90.00°, β = 90.00°, γ = 90.00°
Element x y z (fractional)
1 As 0.000 0.000 0.500
2 Br 0.000 0.500 0.000
3 Br 0.500 0.000 0.000
4 Ge 0.500 0.500 0.500
5 B 0.000 0.000 0.000

## Properties
Energy above the most stable polymorph in this dataset = 0 meV/atom
SG = P4/mmm
D(E_F) = 2.46 states/eV per cell
E_form (uncorrected) = 0.746 eV/atom
Energy = -3.112 eV/atom

---

Density functional theory data (PBE) for crystalline PmErAgBi at its relaxed geometry.

a = 5.338 Å, b = 5.338 Å, c = 5.338 Å
α = 60.00°, β = 60.00°, γ = 60.00°
Element x y z (fractional)
1 Pm 0.500 0.500 0.500
2 Er 0.000 0.000 0.000
3 Bi 0.250 0.250 0.250
4 Ag 0.750 0.750 0.750

## Properties
Energy relative to the elements = -0.422 eV per atom
SG = F-43m
D(E_F) = 4.66 states/eV per cell
Energy = -4.434 eV/atom

---

Density functional theory data (PBE) for crystalline TbAg2TeO4 at its relaxed geometry.

a = 6.960 Å, b = 6.960 Å, c = 7.247 Å
α = 111.65°, β = 111.65°, γ = 106.63°
Element x y z (fractional)
1 Ag 0.500 0.500 0.000
2 Ag 0.500 0.000 0.500
3 Ag 0.500 0.000 0.000
4 Ag 0.000 0.000 0.500
5 Tb 0.000 0.500 0.500
6 Tb 0.000 0.500 0.000
7 O 0.847 0.230 0.107
8 O 0.704 0.582 0.357
9 O 0.918 0.796 0.143
10 O 0.730 0.347 0.607
11 O 0.296 0.418 0.643
12 O 0.270 0.653 0.393
13 O 0.082 0.204 0.857
14 O 0.154 0.770 0.893
15 Te 0.500 0.500 0.500
16 Te 0.000 0.000 0.000

## Properties
SG = C2/c
D(E_F) = 2.09 states/eV per cell
E_form (uncorrected) = -1.282 eV/atom
Energy = -5.445 eV/atom

---

Density functional theory data (PBE) for crystalline CsBiN2 at its relaxed geometry.

a = 6.685 Å, b = 6.685 Å, c = 6.359 Å
α = 58.29°, β = 58.29°, γ = 90.00°
Element x y z (fractional)
1 Cs 0.500 0.500 0.000
2 Cs 0.250 0.750 0.500
3 N 0.375 0.262 0.750
4 N 0.012 0.625 0.250
5 N 0.875 0.988 0.750
6 N 0.738 0.125 0.250
7 Bi 0.750 0.250 0.500
8 Bi 0.000 0.000 0.000

## Properties
SG = I-42d
D(E_F) = 0.00 states/eV per cell
E_form (uncorrected) = 0.682 eV/atom
Energy = -4.664 eV/atom

---

Density functional theory data (PBE) for crystalline AgBIr2 at its relaxed geometry.

a = 4.735 Å, b = 4.735 Å, c = 7.192 Å
α = 70.78°, β = 70.78°, γ = 90.00°
Element x y z (fractional)
1 B 0.250 0.750 0.500
2 B 0.500 0.500 0.000
3 Ir 0.875 0.733 0.750
4 Ir 0.483 0.125 0.250
5 Ir 0.267 0.625 0.250
6 Ir 0.375 0.517 0.750
7 Ag 0.000 0.000 0.000
8 Ag 0.750 0.250 0.500

## Properties
Energy relative to the elements = 0.781 eV per atom
SG = I-42d
D(E_F) = 4.38 states/eV per cell
Energy = -6.032 eV/atom

---

Density functional theory data (PBE) for crystalline Ba3LaCl at its relaxed geometry.

a = 6.532 Å, b = 6.532 Å, c = 6.532 Å
α = 90.00°, β = 90.00°, γ = 90.00°
Element x y z (fractional)
1 Cl 0.500 0.500 0.500
2 Ba 0.000 0.500 0.000
3 Ba 0.000 0.000 0.500
4 Ba 0.500 0.000 0.000
5 La 0.000 0.000 0.000

## Properties
Energy above the most stable polymorph in this dataset = 705 meV/atom
SG = Pm-3m
D(E_F) = 6.40 states/eV per cell
E_form (uncorrected) = 0.184 eV/atom
Energy = -2.324 eV/atom

---

Density functional theory data (PBE) for crystalline PrSc2TcO8 at its relaxed geometry.

a = 4.913 Å, b = 4.909 Å, c = 6.663 Å
α = 90.00°, β = 90.00°, γ = 88.41°
Element x y z (fractional)
1 O 0.196 0.804 0.203
2 O 0.804 0.196 0.797
3 O 0.804 0.196 0.203
4 O 0.196 0.804 0.797
5 O 0.325 0.325 0.500
6 O 0.272 0.272 0.000
7 O 0.728 0.728 0.000
8 O 0.675 0.675 0.500
9 Sc 0.500 0.500 0.258
10 Sc 0.500 0.500 0.742
11 Tc 0.000 0.000 0.000
12 Pr 0.000 0.000 0.500

## Properties
SG = Cmmm
E_form (uncorrected) = -2.542 eV/atom
Energy = -8.165 eV/atom

---

Density functional theory data (PBE) for crystalline Tb7Y3Sc2 at its relaxed geometry.

a = 3.540 Å, b = 5.749 Å, c = 18.891 Å
α = 104.13°, β = 90.00°, γ = 90.00°
Element x y z (fractional)
1 Sc 0.500 0.415 0.704
2 Sc 0.500 0.585 0.296
3 Y 0.000 0.856 0.634
4 Y 0.500 0.500 0.000
5 Y 0.000 0.144 0.366
6 Tb 0.500 0.995 0.183
7 Tb 0.500 0.280 0.538
8 Tb 0.000 0.000 0.000
9 Tb 0.000 0.461 0.148
10 Tb 0.000 0.539 0.852
11 Tb 0.500 0.720 0.462
12 Tb 0.500 0.005 0.817

## Properties
Energy above the most stable polymorph in this dataset = 0 meV/atom
Energy relative to the elements = 0.101 eV per atom
SG = P2/m
D(E_F) = 17.36 states/eV per cell
Energy = -5.271 eV/atom

---

Density functional theory data (PBE) for crystalline KCaTc2O at its relaxed geometry.

a = 4.394 Å, b = 6.402 Å, c = 4.394 Å
α = 90.00°, β = 90.00°, γ = 90.00°
Element x y z (fractional)
1 Tc 0.000 0.000 0.500
2 Tc 0.500 0.000 0.000
3 K 0.000 0.000 0.000
4 O 0.500 0.500 0.500
5 Ca 0.000 0.500 0.000

## Properties
SG = P4/mmm
D(E_F) = 4.89 states/eV per cell
E_form (uncorrected) = 2.498 eV/atom
Energy = -3.260 eV/atom

---

Density functional theory data (PBE) for crystalline PaIn3Ru4 at its relaxed geometry.

a = 4.632 Å, b = 4.632 Å, c = 7.343 Å
α = 108.38°, β = 108.38°, γ = 89.98°
Element x y z (fractional)
1 In 0.248 0.748 0.496
2 In 0.752 0.252 0.504
3 In 0.000 0.500 0.000
4 Ru 0.626 0.626 0.253
5 Ru 0.874 0.874 0.747
6 Ru 0.374 0.374 0.747
7 Ru 0.126 0.126 0.253
8 Pa 0.500 0.000 0.000

## Properties
Energy relative to the elements = -0.229 eV per atom
SG = I4/mmm
D(E_F) = 5.17 states/eV per cell
Energy = -7.080 eV/atom

---

Repeat the second record exactly.
Density functional theory data (PBE) for crystalline SrMo4Os at its relaxed geometry.

a = 5.361 Å, b = 5.361 Å, c = 5.361 Å
α = 60.00°, β = 60.00°, γ = 60.00°
Element x y z (fractional)
1 Sr 0.000 0.000 0.000
2 Mo 0.875 0.375 0.375
3 Mo 0.375 0.375 0.875
4 Mo 0.375 0.875 0.375
5 Mo 0.375 0.375 0.375
6 Os 0.750 0.750 0.750

## Properties
Energy relative to the elements = 0.732 eV per atom
SG = F-43m
D(E_F) = 6.09 states/eV per cell
Energy = -8.641 eV/atom

---

Number 1 is which compound? CaS8I2

---

Among the records above, which one has the highest energy? Ba3LaCl